Computed, not measured: TaIn2Te after structural relaxation at the PBE level of DFT.

Energy relative to the elements, uncorrected = 0.46 eV/atom
V = 23.234 Å³ per atom
Offset from the most stable computed form = 386 meV/atom
E = -0.171 hartree per atom
N(E_F) = 0.762 states/eV per atom

Geometry as POSCAR:
```
TaIn2Te
1.0
5.117 0.000 0.000
0.000 5.117 0.000
0.000 0.000 3.550
In Ta Te
2 1 1
Direct
0.000 0.000 0.000
0.500 0.500 0.000
0.500 0.000 0.500
0.000 0.500 0.500
```

---

Computed, not measured: Li2La2Si after structural relaxation at the PBE level of DFT.

Energy relative to the elements, uncorrected = -0.17 eV/atom
V = 22.956 Å³ per atom
E = -0.147 hartree per atom
N(E_F) = 0.616 states/eV per atom

Geometry as POSCAR:
```
Li2La2Si
1.0
-0.020 4.920 4.752
-5.758 -2.578 2.645
2.649 -2.863 2.975
Si Li La
2 4 4
Direct
0.000 0.000 0.000
0.500 0.500 0.000
0.359 0.859 0.000
0.859 0.641 0.000
0.641 0.141 0.000
0.141 0.359 0.000
0.177 0.677 0.500
0.677 0.823 0.500
0.823 0.323 0.500
0.323 0.177 0.500
```

---

Computed, not measured: MgPt2Pb after structural relaxation at the PBE level of DFT.

V = 18.650 Å³ per atom
Formation energy from the elements = -1.6 eV/f.u.
E = -0.175 hartree per atom
N(E_F) = 0.351 states/eV per atom

Geometry as POSCAR:
```
MgPt2Pb
1.0
-1.903 -1.194 2.646
1.226 -3.303 -0.609
4.587 1.010 3.754
Mg Pb Pt
1 1 2
Direct
0.500 0.500 0.250
0.500 0.500 0.750
0.000 0.000 0.021
0.000 0.000 0.479
```

---

Computed, not measured: Cs3InF6 after structural relaxation at the PBE level of DFT.

Energy relative to the elements, uncorrected = -2.72 eV/atom
V = 23.811 Å³ per atom
E = -0.161 hartree per atom
N(E_F) = 0.000 states/eV per atom

Geometry as POSCAR:
```
Cs3InF6
1.0
6.957 0.000 0.000
3.479 6.025 0.000
3.479 2.008 5.680
Cs F In
3 6 1
Direct
0.250 0.250 0.250
0.750 0.750 0.750
0.500 0.500 0.500
0.215 0.785 0.785
0.785 0.215 0.785
0.215 0.785 0.215
0.215 0.215 0.785
0.785 0.785 0.215
0.785 0.215 0.215
0.000 0.000 0.000
```

---

Computed, not measured: InNi2P after structural relaxation at the PBE level of DFT.

V = 15.731 Å³ per atom
Formation energy from the elements = -0.7 eV/f.u.
E = -0.187 hartree per atom
N(E_F) = 0.517 states/eV per atom

Geometry as POSCAR:
```
InNi2P
1.0
3.317 0.293 2.382
3.789 1.499 -0.405
-1.024 4.969 1.978
In Ni P
1 2 1
Direct
0.266 0.266 0.229
0.010 0.010 0.944
0.757 0.757 0.658
0.467 0.467 0.669
```

---

Computed, not measured: Ba2Zn15Cu2 after structural relaxation at the PBE level of DFT.

V = 18.015 Å³ per atom
Formation energy from the elements = -2.4 eV/f.u.
E = -0.065 hartree per atom
N(E_F) = 0.266 states/eV per atom

Geometry as POSCAR:
```
Ba2Zn15Cu2
1.0
-3.128 -1.714 6.083
-1.950 -6.540 -1.773
5.443 -3.410 2.911
Ba Zn Cu
2 15 2
Direct
0.342 0.342 0.342
0.658 0.658 0.658
0.500 0.000 0.000
0.000 0.000 0.500
0.000 0.500 0.000
0.000 0.724 0.276
0.724 0.276 0.000
0.276 0.000 0.724
0.276 0.724 0.000
0.724 0.000 0.276
0.000 0.276 0.724
0.149 0.662 0.662
0.662 0.662 0.149
0.662 0.149 0.662
0.851 0.338 0.338
0.338 0.338 0.851
0.338 0.851 0.338
0.096 0.096 0.096
0.904 0.904 0.904
```